# 1
RbUIn2Cl6 | PBE | optimized geometry

SG: R-3, No. 148
Raw formation energy: -1.40 eV/atom
D(E_F): 0.0902 states/eV per atom
Volume: 381 Å³/cell
Total magnetization: 3.000 Bohr magnetons per cell
Crystal system: trigonal

Cell lengths 8.278, 8.276, 8.012 Å; angles 89.99, 121.10, 120.01 degrees
Atoms (fractional coordinates):
Cl: 0.928 0.814 0.248
Rb: 0.997 0.498 0.480
Cl: 0.845 0.662 0.713
Cl: 0.448 0.114 0.248
In: 0.417 0.208 0.610
Cl: 0.148 0.334 0.248
Cl: 0.545 0.882 0.713
Cl: 0.065 0.182 0.713
In: 0.577 0.788 0.350
U: 0.997 0.998 0.980

# 2
RbVInCl6 | PBE | optimized geometry

SG: P-31c, No. 163
Raw formation energy: -1.35 eV/atom
D(E_F): 0.0589 states/eV per atom
Volume: 557 Å³/cell
Total magnetization: 6.002 Bohr magnetons per cell
Crystal system: trigonal

Cell lengths 6.626, 6.626, 14.652 Å; angles 90.00, 90.00, 120.00 degrees
Atoms (fractional coordinates):
Cl: 0.987 0.365 0.653
Cl: 0.365 0.987 0.153
Cl: 0.622 0.987 0.347
V: 0.333 0.667 0.250
Cl: 0.378 0.365 0.847
Cl: 0.622 0.635 0.153
Cl: 0.635 0.013 0.847
Rb: 0.000 0.000 0.500
Rb: 0.000 0.000 0.000
Cl: 0.013 0.635 0.347
Cl: 0.378 0.013 0.653
Cl: 0.013 0.378 0.153
Cl: 0.365 0.378 0.347
In: 0.333 0.667 0.750
V: 0.667 0.333 0.750
Cl: 0.987 0.622 0.847
In: 0.667 0.333 0.250
Cl: 0.635 0.622 0.653